1.
{
  "formula": "ScCdCl",
  "functional": "GGA-PBE",
  "state": "relaxed",
  "cell": [[0.0000, 2.6880, 7.6964], [1.8426, 0.0000, 7.6964], [1.8426, 2.6880, 0.0000]],
  "species": ["Sc", "Cd", "Cl"],
  "frac_coords": [[0.0000, 0.0000, 0.0000], [0.6514, 0.6514, 0.3486], [0.3860, 0.3860, 0.6140]],
  "polymorph_energy_kcal_per_mol_atoms": 3.63,
  "dos_ef_per_ev_fu": 2.58,
  "magmom_total_mub_per_fu": 0.00,
  "spacegroup": "Fmm2",
  "total_energy_ev_per_atom": -3.752
}


2.
{
  "formula": "Sc2CdCl",
  "functional": "GGA-PBE",
  "state": "relaxed",
  "cell": [[3.2166, 0.0000, 0.0000], [0.0000, 3.2166, 0.0000], [0.0000, 0.0000, 8.0798]],
  "species": ["Sc", "Sc", "Cd", "Cl"],
  "frac_coords": [[0.0000, 0.0000, 0.2453], [0.0000, 0.0000, 0.7547], [0.5000, 0.5000, 0.5000], [0.5000, 0.5000, 0.0000]],
  "polymorph_energy_kcal_per_mol_atoms": 3.45,
  "dos_ef_per_ev_fu": 3.46,
  "magmom_total_mub_per_fu": 1.54,
  "spacegroup": "P4/mmm",
  "total_energy_ev_per_atom": -4.384
}